# HgW3

A relaxed HgW3 crystal (PBE, Alexandria).

The energy relative to the lowest polymorph listed for this composition comes out at 243.6 meV per atom. Its crystal system is monoclinic. The value obtained for the uncorrected energy is -9.12 eV per atom. The calculation puts the formation energy at 0.675 eV/atom.

The structure belongs to space group C2/m (No. 12); the cell edges are 9.669, 2.747 and 5.195 Å and the angles 90.00°, 97.40° and 90.00°. The distinct sites, in fractional coordinates, are Hg at (0.000, 0.000, 0.000), W at (0.000, 0.500, 0.500) and W at (0.248, 0.000, 0.744).